## Li2CaNiF8 (GGA+U)

Data for Li2CaNiF8 after structural relaxation.

Lattice parameters (Å, degrees): 4.7293 4.7431 6.5527 86.01 86.08 86.64
Closest atoms and distances in Å follow each position.
Fractional positions:
Li 0.4661 0.4660 0.7288  5 F 1.95-2.07
Li 0.5339 0.5340 0.2712  5 F 1.95-2.07
Ca 0.0000 0.0000 0.5000  6 F 2.19-2.33
Ni 0.0000 0.0000 0.0000  6 F 1.79-1.81
F 0.1876 0.8017 0.2006  1 Ni 1.81
F 0.7387 0.7385 0.0189  1 Ni 1.79
F 0.8009 0.1869 0.2002  1 Ni 1.81
F 0.8124 0.1983 0.7994  1 Ni 1.81
F 0.2613 0.2615 0.9811  1 Ni 1.79
F 0.1991 0.8131 0.7998  1 Ni 1.81
F 0.6815 0.6825 0.5108  2 Li 1.95-1.96, 1 Ca 2.19
F 0.3185 0.3175 0.4892  2 Li 1.95-1.96, 1 Ca 2.19

Calculated values
crystal system	triclinic
VASP energy	-4.447	eV/atom